Here is a geometry-optimized Ga2CoNi structure from OQMD. Energies are from PBE.

Values from the calculation:
Space group: Ama2, No. 40
Calculated total energy, Ry/atom: -0.3557

Geometry as POSCAR:
```
Ga2CoNi
1.0
4.321 0.000 0.000
0.000 4.651 2.505
0.000 -4.651 2.505
Ga Co Ni
4 2 2
direct
0.250 0.085 0.915
0.250 0.121 0.454
0.750 0.454 0.121
0.750 0.915 0.085
0.250 0.585 0.431
0.750 0.431 0.585
0.250 0.615 0.949
0.750 0.949 0.615
```

---

Here is a geometry-optimized YHoNCl3 structure from OQMD. Energies are from PBE.

Values from the calculation:
Space group: C2/m, No. 12
Relative energy among the computed polymorphs, meV/atom: 0

Geometry as POSCAR:
```
YHoNCl3
1.0
7.987 -1.917 0.000
7.987 1.917 0.000
-5.354 0.000 9.110
Y Ho N Cl
2 2 2 6
direct
0.136 0.136 0.293
0.864 0.864 0.707
0.415 0.415 0.046
0.585 0.585 0.954
0.425 0.425 0.844
0.575 0.575 0.156
0.051 0.051 0.748
0.222 0.222 0.111
0.336 0.336 0.485
0.664 0.664 0.515
0.778 0.778 0.889
0.949 0.949 0.252
```

---

Here is a geometry-optimized ReNiB structure from OQMD. Energies are from PBE.

Values from the calculation:
Space group: F-43m, No. 216
Calculated total energy, Ry/atom: -0.5401

Geometry as POSCAR:
```
ReNiB
1.0
0.000 2.633 2.633
2.633 0.000 2.633
2.633 2.633 0.000
Re Ni B
1 1 1
direct
0.000 0.000 0.000
0.750 0.750 0.750
0.500 0.500 0.500
```

---

Here is a geometry-optimized LiLu structure from OQMD. Energies are from PBE.

Values from the calculation:
Space group: F-43m, No. 216
Relative energy among the computed polymorphs, meV/atom: 1144

Geometry as POSCAR:
```
LiLu
1.0
0.000 3.191 3.191
3.191 0.000 3.191
3.191 3.191 0.000
Li Lu
1 1
direct
0.000 0.000 0.000
0.750 0.750 0.750
```